1.
Material: YW2Br
Method: DFT, PBE
State: optimized geometry

The calculation puts the raw formation energy at 0.69 eV/atom. Its density of states at the Fermi level is 2.64 states/eV/f.u.

It has space group I-42d (No. 122), with a = 3.8358 Å, b = 3.8358 Å, c = 23.1271 Å, α = 90.00°, β = 90.00° and γ = 90.00°. The inequivalent atoms are Y at (0.0000, 0.0000, 0.0000), W at (0.2311, 0.2500, 0.1250) and Br at (0.0000, 0.0000, 0.5000).



2.
Material: YWBr2
Method: DFT, PBE
State: optimized geometry

The calculation puts the raw formation energy at 0.24 eV/atom. Its density of states at the Fermi level is 2.74 states/eV/f.u.

It has space group Cm (No. 8), with a = 10.7644 Å, b = 3.3508 Å, c = 5.5632 Å, α = 90.00°, β = 112.08° and γ = 90.00°. The inequivalent atoms are Y at (0.0000, 0.0000, 0.0000), W at (0.2369, 0.0000, 0.7527), Br at (0.0451, 0.5000, 0.4922) and Br at (0.2534, 0.5000, 0.1369).